Crystalline Cd3FeAg at its relaxed geometry, computed with GGA-PBEsol.

symmetry: Pm-3m, No. 221
raw total energy: -0.1588 Ry per atom
ΔH_f (0 K): 1.013 eV per atom

Cell: 5.0285 5.0285 5.0285 Å, 90.00 90.00 90.00°
With the nearest neighbours (Å) after each atom.
Atoms (fractional coordinates):
Cd1 0.0000 0.0000 0.5000  2 Ag 2.51
Cd2 0.0000 0.5000 0.0000  2 Ag 2.51
Cd3 0.5000 0.0000 0.0000  2 Ag 2.51
Fe1 0.5000 0.5000 0.5000  12 Cd 3.56
Ag1 0.0000 0.0000 0.0000  6 Cd 2.51